No. 1
Below is a relaxed structure of TbIn2Cu6, with properties calculated at the GGA-PBE level.

Output
* size of the total moment: 0.000 μB/cell
* DFT formation energy: -0.08 eV per formula unit

Cell lengths 3.581, 6.889, 12.670 Å; angles 90.00, 90.00, 90.00 degrees
Space group Immm (No. 71)
Inequivalent atoms, fractional coordinates:
Tb 0.000 0.000 0.000 (multiplicity 2)
In 0.000 0.500 0.139 (multiplicity 4)
Cu 0.000 0.176 0.500 (multiplicity 4)
Cu 0.000 0.316 0.323 (multiplicity 8)


No. 2
Below is a relaxed structure of BaZn3Ga2, with properties calculated at the GGA-PBE level.

Output
* size of the total moment: 0.000 μB/cell
* DFT formation energy: -1.33 eV per formula unit

Cell lengths 17.533, 4.383, 7.297 Å; angles 90.00, 114.43, 90.00 degrees
Space group C2/m (No. 12)
Inequivalent atoms, fractional coordinates:
Ba 0.112 0.000 0.135 (multiplicity 4)
Zn 0.076 0.000 0.618 (multiplicity 4)
Zn 0.165 0.500 0.508 (multiplicity 4)
Zn 0.187 0.500 0.886 (multiplicity 4)
Ga 0.005 0.500 0.700 (multiplicity 4)
Ga 0.235 0.000 0.715 (multiplicity 4)


No. 3
Below is a relaxed structure of Ho5HgOs2, with properties calculated at the GGA-PBE level.

Output
* size of the total moment: 0.000 μB/cell
* DFT formation energy: -2.88 eV per formula unit

Cell lengths 7.730, 7.730, 13.301 Å; angles 90.00, 90.00, 90.00 degrees
Space group I4/mcm (No. 140)
Inequivalent atoms, fractional coordinates:
Ho 0.000 0.000 0.000 (multiplicity 4)
Ho 0.158 0.342 0.133 (multiplicity 16)
Hg 0.000 0.000 0.250 (multiplicity 4)
Os 0.141 0.359 0.500 (multiplicity 8)


No. 4
Below is a relaxed structure of CsMgCd2Ag, with properties calculated at the GGA-PBE level.

Output
* size of the total moment: 0.000 μB/cell
* DFT formation energy: 0.25 eV per formula unit

Cell lengths 5.548, 5.548, 5.355 Å; angles 90.00, 90.00, 90.00 degrees
Space group P4/mmm (No. 123)
Inequivalent atoms, fractional coordinates:
Cs 0.000 0.000 0.000 (multiplicity 1)
Mg 0.500 0.500 0.000 (multiplicity 1)
Cd 0.000 0.500 0.500 (multiplicity 2)
Ag 0.500 0.500 0.500 (multiplicity 1)


No. 5
Below is a relaxed structure of Tl2SiAgO4, with properties calculated at the GGA-PBE level.

Output
* size of the total moment: 8.279 μB/cell
* raw total energy: -5.232 eV/atom

Cell lengths 5.680, 11.101, 20.417 Å; angles 90.00, 90.00, 90.00 degrees
Space group Fddd (No. 70, origin choice 2)
Inequivalent atoms, fractional coordinates:
Tl 0.125 0.125 0.310 (multiplicity 16)
Si 0.125 0.125 0.625 (multiplicity 8)
Ag 0.125 0.125 0.125 (multiplicity 8)
O 0.056 0.283 0.835 (multiplicity 32)


No. 6
Below is a relaxed structure of Sm2HfNpP4, with properties calculated at the GGA-PBE level.

Output
* size of the total moment: 3.838 μB/cell
* DFT formation energy: -10.57 eV per formula unit

Cell lengths 6.822, 3.951, 6.876 Å; angles 90.00, 109.16, 90.00 degrees
Space group P2/m (No. 10)
Inequivalent atoms, fractional coordinates:
Sm 0.000 0.000 0.000 (multiplicity 1)
Sm 0.500 0.500 0.000 (multiplicity 1)
Hf 0.000 0.500 0.500 (multiplicity 1)
Np 0.500 0.000 0.500 (multiplicity 1)
P 0.236 0.000 0.728 (multiplicity 2)
P 0.248 0.500 0.268 (multiplicity 2)


No. 7
Below is a relaxed structure of HoRu2W, with properties calculated at the GGA-PBE level.

Output
* size of the total moment: 0.001 μB/cell
* ΔE to the lowest computed polymorph: 0.110 eV/atom
* DFT formation energy: -0.01 eV per formula unit

Cell lengths 4.654, 4.654, 3.116 Å; angles 90.00, 90.00, 90.00 degrees
Space group P4/mmm (No. 123)
Inequivalent atoms, fractional coordinates:
Ho 0.000 0.000 0.000 (multiplicity 1)
Ru 0.000 0.500 0.500 (multiplicity 2)
W 0.500 0.500 0.000 (multiplicity 1)


No. 8
Below is a relaxed structure of LaYErHg, with properties calculated at the GGA-PBE level.

Output
* size of the total moment: 0.002 μB/cell
* ΔE to the lowest computed polymorph: 0.000 eV/atom
* DFT formation energy: -0.93 eV per formula unit

Cell lengths 3.662, 3.662, 8.942 Å; angles 90.00, 90.00, 90.00 degrees
Space group P4mm (No. 99)
Inequivalent atoms, fractional coordinates:
La 0.000 0.000 0.000 (multiplicity 1)
Y 0.500 0.500 0.708 (multiplicity 1)
Er 0.500 0.500 0.285 (multiplicity 1)
Hg 0.000 0.000 0.490 (multiplicity 1)